No. 1
Computed, not measured: a geometry-optimized BaEu3H structure at the PBE level of DFT.

Lattice parameters (Å, degrees): 5.600 5.600 5.600 90.00 90.00 90.00
Site moments in Bohr magnetons follow the coordinates.
Fractional coordinates of all 5 atoms:
Eu 0.000 0.500 0.000  7.00
Eu 0.000 0.000 0.500  7.00
Eu 0.500 0.000 0.000  7.00
H 0.000 0.000 0.000  -0.02
Ba 0.500 0.500 0.500  0.12

## Properties
The calculated volume is 35.12 Å³/atom. The total energy is -7.303 eV/atom. As for the space-group type: No. 221.

No. 2
Computed, not measured: a geometry-optimized SrAgAu2 structure at the PBE level of DFT.

Lattice parameters (Å, degrees): 4.763 4.763 5.748 65.45 65.45 60.08
Fractional coordinates of all 4 atoms:
Sr 0.250 0.250 0.250
Au 0.038 0.038 0.886
Au 0.462 0.462 0.614
Ag 0.750 0.750 0.750

## Properties
The calculated volume is 24.79 Å³/atom. As for the space-group type: No. 12. The formation energy comes out at -483 meV per atom.

No. 3
Computed, not measured: a geometry-optimized SrZn3Rh structure at the PBE level of DFT.

Lattice parameters (Å, degrees): 5.901 4.286 10.067 90.11 119.65 68.57
Fractional coordinates of all 10 atoms:
Sr 0.760 0.664 0.472
Sr 0.546 0.773 0.054
Zn 0.351 0.371 0.778
Zn 0.851 0.119 0.742
Zn 0.080 0.004 0.329
Zn 0.954 0.069 0.029
Zn 0.471 0.810 0.670
Zn 0.241 0.425 0.211
Rh 0.039 0.525 0.907
Rh 0.335 0.377 0.495

## Properties
The calculated volume is 20.09 Å³/atom. As for the space-group type: No. 1. The formation energy comes out at -317 meV per atom.